This record from Alexandria describes a geometry-optimized GaSiHgOsRh structure. The functional is PBE.

Cell lengths 9.979, 2.887, 6.481 Å; angles 90.00, 117.03, 90.00 degrees
Sites, in units of the cell vectors:
1 Ga 0.000 0.000 0.000
2 Ga 0.500 0.500 0.000
3 Si 0.403 0.500 0.365
4 Si 0.903 0.000 0.365
5 Hg 0.223 0.000 0.540
6 Hg 0.723 0.500 0.540
7 Os 0.291 0.000 0.040
8 Os 0.791 0.500 0.040
9 Rh 0.041 0.500 0.701
10 Rh 0.541 0.000 0.701

Properties
Total magnetization = 0.30 μB per cell
Formation energy without anion corrections = 0 meV/atom
Space group = Cm